# Nd2NpP3 | Alexandria | PBE | optimized geometry
# Crystal system: tetragonal
# Energy relative to the elements in eV/atom: -1.289
data_Nd2NpP3
_space_group_name_H-M_alt 'I 4/m m m'
_space_group_IT_number 139
_space_group_name_Hall '-I 4 2'
_cell_length_a 4.1010
_cell_length_b 4.1010
_cell_length_c 17.3575
_cell_angle_alpha 90.00
_cell_angle_beta 90.00
_cell_angle_gamma 90.00
loop_
_atom_site_label
_atom_site_type_symbol
_atom_site_fract_x
_atom_site_fract_y
_atom_site_fract_z
_atom_site_occupancy
Nd1 Nd 0.0000 0.0000 0.1673 1
Np1 Np 0.0000 0.0000 0.5000 1
P1 P 0.0000 0.0000 0.0000 1
P2 P 0.0000 0.0000 0.3382 1

***

# PuMg2TcO8 | Alexandria | PBE | optimized geometry
# Crystal system: orthorhombic
# ΔE_f (raw) in meV/atom: -2178
data_PuMg2TcO8
_space_group_name_H-M_alt 'C m m m'
_space_group_IT_number 65
_space_group_name_Hall '-C 2 2'
_cell_length_a 6.5538
_cell_length_b 6.8203
_cell_length_c 6.3942
_cell_angle_alpha 90.00
_cell_angle_beta 90.00
_cell_angle_gamma 90.00
loop_
_atom_site_label
_atom_site_type_symbol
_atom_site_fract_x
_atom_site_fract_y
_atom_site_fract_z
_atom_site_occupancy
Pu1 Pu 0.0000 0.0000 0.0000 1
Mg1 Mg 0.0000 0.5000 0.2617 1
Tc1 Tc 0.0000 0.0000 0.5000 1
O1 O 0.0000 0.1923 0.2700 1
O2 O 0.2040 0.5000 0.0000 1
O3 O 0.2171 0.5000 0.5000 1

***

# LiCd5Rh | Alexandria | PBE | optimized geometry
# Crystal system: monoclinic
# Energy relative to the elements in eV/atom: -0.006
data_LiCd5Rh
_space_group_name_H-M_alt 'C 1 2/c 1'
_space_group_IT_number 15
_cell_length_a 7.9288
_cell_length_b 8.3070
_cell_length_c 9.7675
_cell_angle_alpha 90.00
_cell_angle_beta 105.35
_cell_angle_gamma 90.00
loop_
_space_group_symop_operation_xyz
'x,y,z'
'-x,-y,-z'
'-x,y,-z+1/2'
'x,-y,z+1/2'
'x+1/2,y+1/2,z'
'-x+1/2,-y+1/2,-z'
'-x+1/2,y+1/2,-z+1/2'
'x+1/2,-y+1/2,z+1/2'
loop_
_atom_site_label
_atom_site_type_symbol
_atom_site_fract_x
_atom_site_fract_y
_atom_site_fract_z
_atom_site_occupancy
Li1 Li 0.0000 0.1448 0.2500 1
Cd1 Cd 0.0000 0.1749 0.7500 1
Cd2 Cd 0.0839 0.3243 0.0327 1
Cd3 Cd 0.1843 0.4674 0.3226 1
Rh1 Rh 0.0000 0.0000 0.0000 1